(1)
# MnCuPH

Crystalline MnCuPH at its relaxed geometry (GGA-PBE, Alexandria).

The structure in POSCAR format:
```
MnCuPH
1.0
3.065 0.000 0.000
0.000 2.639 0.000
0.000 0.000 10.105
Mn Cu P H
2 2 2 2
Direct
0.000 0.000 0.000
0.000 0.500 0.500
0.500 0.000 0.698
0.500 0.500 0.198
0.500 0.000 0.393
0.500 0.500 0.893
0.000 0.000 0.614
0.000 0.500 0.114
```

Output
E above lowest polymorph: 9 meV per atom
energy: -5.5642 eV per atom
mass density: 6.11 g/cm³
N(E_F): 0.57 states/eV per atom

(2)
# Ho3Ge3Os

Crystalline Ho3Ge3Os at its relaxed geometry (GGA-PBE, Alexandria).

The structure in POSCAR format:
```
Ho3Ge3Os
1.0
5.370 -2.135 0.000
5.370 2.135 0.000
-4.850 0.000 12.907
Ho Ge Os
6 6 2
Direct
0.021 0.021 0.376
0.100 0.100 0.920
0.241 0.241 0.231
0.759 0.759 0.769
0.900 0.900 0.080
0.979 0.979 0.624
0.366 0.366 0.456
0.377 0.377 0.926
0.458 0.458 0.761
0.542 0.542 0.239
0.623 0.623 0.074
0.634 0.634 0.544
0.254 0.254 0.589
0.746 0.746 0.411
```

Output
energy: -6.2904 eV per atom
mass density: 10.13 g/cm³
ΔH_f (0 K): -5.22 eV/f.u.
N(E_F): 0.56 states/eV per atom

(3)
# Ho2UOs2

Crystalline Ho2UOs2 at its relaxed geometry (GGA-PBE, Alexandria).

The structure in POSCAR format:
```
Ho2UOs2
1.0
4.929 -2.899 0.000
4.929 2.899 0.000
-1.535 0.000 7.787
Ho U Os
4 2 4
Direct
0.012 0.286 0.150
0.286 0.012 0.650
0.714 0.988 0.350
0.988 0.714 0.850
0.356 0.644 0.250
0.644 0.356 0.750
0.233 0.503 0.493
0.497 0.767 0.007
0.503 0.233 0.993
0.767 0.497 0.507
```

Output
energy: -8.8319 eV per atom
mass density: 14.15 g/cm³
ΔH_f (0 K): -1.26 eV/f.u.
N(E_F): 1.50 states/eV per atom

(4)
# KNa2Cd3

Crystalline KNa2Cd3 at its relaxed geometry (GGA-PBE, Alexandria).

The structure in POSCAR format:
```
KNa2Cd3
1.0
3.450 -5.065 0.000
3.450 5.065 0.000
-0.781 0.000 10.150
K Na Cd
2 4 6
Direct
0.146 0.854 0.750
0.854 0.146 0.250
0.036 0.713 0.385
0.287 0.964 0.115
0.713 0.036 0.885
0.964 0.287 0.615
0.225 0.441 0.979
0.441 0.225 0.479
0.475 0.525 0.250
0.525 0.475 0.750
0.559 0.775 0.521
0.775 0.559 0.021
```

Output
E above lowest polymorph: 0 meV per atom
energy: -1.1411 eV per atom
mass density: 3.95 g/cm³
ΔH_f (0 K): -0.37 eV/f.u.
N(E_F): 0.33 states/eV per atom

(5)
# Nd2HoTh3As6

Crystalline Nd2HoTh3As6 at its relaxed geometry (GGA-PBE, Alexandria).

The structure in POSCAR format:
```
Nd2HoTh3As6
1.0
9.228 -2.121 0.000
9.228 2.121 0.000
-1.910 0.000 8.234
Nd Ho Th As
2 1 3 6
Direct
0.166 0.166 0.333
0.834 0.834 0.667
0.500 0.500 0.000
0.167 0.167 0.834
0.500 0.500 0.500
0.833 0.833 0.166
0.001 0.001 0.756
0.334 0.334 0.415
0.336 0.336 0.920
0.664 0.664 0.080
0.666 0.666 0.585
0.999 0.999 0.244
```

Output
energy: -6.8223 eV per atom
mass density: 8.24 g/cm³
ΔH_f (0 K): -17.60 eV/f.u.
N(E_F): 0.45 states/eV per atom

(6)
# Pm6Co2NiBr3

Crystalline Pm6Co2NiBr3 at its relaxed geometry (GGA-PBE, Alexandria).

The structure in POSCAR format:
```
Pm6Co2NiBr3
1.0
9.648 -2.000 0.000
9.648 2.000 0.000
-3.442 0.000 8.324
Pm Co Ni Br
6 2 1 3
Direct
0.015 0.015 0.222
0.320 0.320 0.450
0.343 0.343 0.881
0.657 0.657 0.119
0.680 0.680 0.550
0.985 0.985 0.778
0.166 0.166 0.331
0.834 0.834 0.669
0.500 0.500 0.000
0.166 0.166 0.833
0.500 0.500 0.500
0.834 0.834 0.167
```

Output
ΔE_f (raw): -9.17 eV/f.u.
energy: -5.2238 eV per atom
mass density: 6.65 g/cm³
N(E_F): 0.49 states/eV per atom

(7)
# ErH2Pt

Crystalline ErH2Pt at its relaxed geometry (GGA-PBE, Alexandria).

The structure in POSCAR format:
```
ErH2Pt
1.0
4.052 0.000 0.000
-2.026 3.509 0.000
0.000 0.000 11.113
Er H Pt
3 6 3
Direct
0.000 0.000 0.000
0.333 0.667 0.667
0.667 0.333 0.333
0.000 0.000 0.350
0.000 0.000 0.650
0.333 0.667 0.016
0.333 0.667 0.317
0.667 0.333 0.683
0.667 0.333 0.984
0.000 0.000 0.500
0.333 0.667 0.167
0.667 0.333 0.833
```

Output
energy: -5.0008 eV per atom
mass density: 11.49 g/cm³
N(E_F): 0.33 states/eV per atom

(8)
# Li3Al3Zn2

Crystalline Li3Al3Zn2 at its relaxed geometry (GGA-PBE, Alexandria).

The structure in POSCAR format:
```
Li3Al3Zn2
1.0
3.520 2.032 2.889
-3.520 2.032 2.889
0.000 -4.065 2.889
Li Al Zn
3 3 2
Direct
0.000 0.258 0.742
0.258 0.742 0.000
0.742 0.000 0.258
0.245 0.755 0.500
0.500 0.245 0.755
0.755 0.500 0.245
0.243 0.243 0.243
0.757 0.757 0.757
```

Output
energy: -2.5442 eV per atom
mass density: 3.11 g/cm³
ΔH_f (0 K): -0.84 eV/f.u.
N(E_F): 0.26 states/eV per atom

(9)
# AcH6Pd5

Crystalline AcH6Pd5 at its relaxed geometry (GGA-PBE, Alexandria).

The structure in POSCAR format:
```
AcH6Pd5
1.0
2.791 -4.924 0.000
2.791 4.924 0.000
-1.904 0.000 5.138
Ac H Pd
1 6 5
Direct
0.000 0.000 0.000
0.058 0.617 0.174
0.383 0.942 0.826
0.445 0.445 0.795
0.555 0.555 0.205
0.617 0.058 0.174
0.942 0.383 0.826
0.205 0.795 0.500
0.340 0.660 0.000
0.500 0.500 0.500
0.660 0.340 0.000
0.795 0.205 0.500
```

Output
energy: -4.4321 eV per atom
mass density: 8.99 g/cm³
N(E_F): 0.12 states/eV per atom

(10)
# Rb2UF6

Crystalline Rb2UF6 at its relaxed geometry (GGA-PBE, Alexandria).

The structure in POSCAR format:
```
Rb2UF6
1.0
3.528 -6.207 0.000
3.528 6.207 0.000
0.000 0.000 7.590
Rb U F
4 2 12
Direct
0.158 0.842 0.502
0.158 0.842 0.998
0.842 0.158 0.002
0.842 0.158 0.498
0.449 0.551 0.750
0.551 0.449 0.250
0.108 0.506 0.750
0.197 0.214 0.250
0.214 0.197 0.750
0.400 0.600 0.043
0.400 0.600 0.457
0.494 0.892 0.750
0.506 0.108 0.250
0.600 0.400 0.543
0.600 0.400 0.957
0.786 0.803 0.250
0.803 0.786 0.750
0.892 0.494 0.250
```

Output
ΔE_f (raw): -29.78 eV/f.u.
energy: -6.0259 eV per atom
mass density: 5.22 g/cm³
N(E_F): 0.64 states/eV per atom

(11)
# NaAcGa

Crystalline NaAcGa at its relaxed geometry (GGA-PBE, Alexandria).

The structure in POSCAR format:
```
NaAcGa
1.0
4.587 0.000 0.000
0.000 20.128 0.000
0.000 0.000 4.335
Na Ac Ga
4 4 4
Direct
0.000 0.206 0.250
0.000 0.794 0.750
0.500 0.294 0.750
0.500 0.706 0.250
0.000 0.414 0.250
0.000 0.586 0.750
0.500 0.086 0.750
0.500 0.914 0.250
0.000 0.038 0.250
0.000 0.962 0.750
0.500 0.462 0.750
0.500 0.538 0.250
```

Output
E above lowest polymorph: 0 meV per atom
energy: -3.1148 eV per atom
mass density: 5.31 g/cm³
ΔH_f (0 K): -0.89 eV/f.u.
N(E_F): 0.63 states/eV per atom

(12)
# ZnMoRh2

Crystalline ZnMoRh2 at its relaxed geometry (GGA-PBE, Alexandria).

The structure in POSCAR format:
```
ZnMoRh2
1.0
2.770 0.000 0.000
-1.385 2.399 0.000
0.000 0.000 26.518
Zn Mo Rh
3 3 6
Direct
0.000 0.000 0.000
0.333 0.667 0.667
0.667 0.333 0.333
0.000 0.000 0.245
0.333 0.667 0.911
0.667 0.333 0.578
0.000 0.000 0.499
0.000 0.000 0.745
0.333 0.667 0.165
0.333 0.667 0.412
0.667 0.333 0.078
0.667 0.333 0.832
```

Output
energy: -6.7535 eV per atom
mass density: 10.38 g/cm³
ΔH_f (0 K): -0.21 eV/f.u.
N(E_F): 0.92 states/eV per atom